This record from Alexandria via LeMat-Bulk describes a relaxed structure of YSc2Se. The functional is PBE.

Structure (CIF):
```
data_YSc2Se
_symmetry_space_group_name_H-M 'P 4/m m m'
_symmetry_Int_Tables_number 123
_symmetry_space_group_name_Hall '-P 4 2'
_cell_length_a 5.052
_cell_length_b 5.052
_cell_length_c 3.637
_cell_angle_alpha 90.00
_cell_angle_beta 90.00
_cell_angle_gamma 90.00
loop_
_atom_site_label
_atom_site_type_symbol
_atom_site_fract_x
_atom_site_fract_y
_atom_site_fract_z
Y1 Y 0.000 0.000 0.000
Sc1 Sc 0.000 0.500 0.500
Se1 Se 0.500 0.500 0.000
```

**E_form (uncorrected)**: -31 kJ per mole of atoms
**Electronic total energy**: -5.973 eV/atom

This record from Alexandria via LeMat-Bulk describes a relaxed structure of SmCrC2. The functional is PBE.

Structure (CIF):
```
data_SmCrC2
_symmetry_space_group_name_H-M 'C 1 2 1'
_symmetry_Int_Tables_number 5
_cell_length_a 4.398
_cell_length_b 4.398
_cell_length_c 5.874
_cell_angle_alpha 90.00
_cell_angle_beta 111.88
_cell_angle_gamma 90.00
loop_
_symmetry_equiv_pos_as_xyz
'x,y,z'
'-x,y,-z'
'x+1/2,y+1/2,z'
'-x+1/2,y+1/2,-z'
loop_
_atom_site_label
_atom_site_type_symbol
_atom_site_fract_x
_atom_site_fract_y
_atom_site_fract_z
Sm1 Sm 0.000 0.000 0.000
Cr1 Cr 0.000 0.752 0.500
C1 C 0.149 0.502 0.297
```

**ΔH_f (0 K)**: 33.4 kJ per mole of atoms
**Electronic total energy**: -7.852 eV/atom

This record from Alexandria via LeMat-Bulk describes a relaxed structure of ZrRuSe2. The functional is PBE.

Structure (CIF):
```
data_ZrRuSe2
_symmetry_space_group_name_H-M 'F -4 3 m'
_symmetry_Int_Tables_number 216
_symmetry_space_group_name_Hall 'F -4 2 3'
_cell_length_a 6.659
_cell_length_b 6.659
_cell_length_c 6.659
_cell_angle_alpha 90.00
_cell_angle_beta 90.00
_cell_angle_gamma 90.00
loop_
_atom_site_label
_atom_site_type_symbol
_atom_site_fract_x
_atom_site_fract_y
_atom_site_fract_z
Zr1 Zr 0.000 0.000 0.000
Ru1 Ru 0.250 0.250 0.750
Se1 Se 0.000 0.000 0.500
Se2 Se 0.250 0.250 0.250
```

**E_form (uncorrected)**: 2 kJ per mole of atoms
**Electronic total energy**: -6.182 eV/atom

This record from Alexandria via LeMat-Bulk describes a relaxed structure of CdIn3Pd3. The functional is PBE.

Structure (CIF):
```
data_CdIn3Pd3
_symmetry_space_group_name_H-M 'P 63/m'
_symmetry_Int_Tables_number 176
_symmetry_space_group_name_Hall '-P 6c'
_cell_length_a 7.8950
_cell_length_b 7.8950
_cell_length_c 5.0313
_cell_angle_alpha 90.00
_cell_angle_beta 90.00
_cell_angle_gamma 120.00
loop_
_atom_site_label
_atom_site_type_symbol
_atom_site_fract_x
_atom_site_fract_y
_atom_site_fract_z
Cd1 Cd 0.3333 0.6667 0.2500
In1 In 0.0853 0.6509 0.7500
Pd1 Pd 0.0477 0.7991 0.2500
```

**ΔH_f (0 K)**: -24.8 kJ per mole of atoms
**Electronic total energy**: -3.787 eV/atom

This record from Alexandria via LeMat-Bulk describes a relaxed structure of K3Tl2. The functional is PBE.

Structure (CIF):
```
data_K3Tl2
_symmetry_space_group_name_H-M 'F d d 2'
_symmetry_Int_Tables_number 43
_symmetry_space_group_name_Hall 'F 2 -2d'
_cell_length_a 14.408
_cell_length_b 22.854
_cell_length_c 5.629
_cell_angle_alpha 90.00
_cell_angle_beta 90.00
_cell_angle_gamma 90.00
loop_
_atom_site_label
_atom_site_type_symbol
_atom_site_fract_x
_atom_site_fract_y
_atom_site_fract_z
K1 K 0.000 0.000 0.000
K2 K 0.082 0.119 0.527
Tl1 Tl 0.011 0.224 0.982
```

**ΔH_f (0 K)**: -2.8 kJ per mole of atoms
**Electronic total energy**: -1.634 eV/atom

This record from Alexandria via LeMat-Bulk describes a relaxed structure of PrNd3Co2. The functional is PBE.

Structure (CIF):
```
data_PrNd3Co2
_symmetry_space_group_name_H-M 'C 1 2/m 1'
_symmetry_Int_Tables_number 12
_cell_length_a 17.857
_cell_length_b 3.897
_cell_length_c 10.287
_cell_angle_alpha 90.00
_cell_angle_beta 117.12
_cell_angle_gamma 90.00
loop_
_symmetry_equiv_pos_as_xyz
'x,y,z'
'-x,-y,-z'
'-x,y,-z'
'x,-y,z'
'x+1/2,y+1/2,z'
'-x+1/2,-y+1/2,-z'
'-x+1/2,y+1/2,-z'
'x+1/2,-y+1/2,z'
loop_
_atom_site_label
_atom_site_type_symbol
_atom_site_fract_x
_atom_site_fract_y
_atom_site_fract_z
Pr1 Pr 0.103 0.000 0.014
Nd1 Nd 0.055 0.000 0.370
Nd2 Nd 0.142 0.500 0.744
Nd3 Nd 0.210 0.500 0.334
Co1 Co 0.029 0.500 0.158
Co2 Co 0.248 0.000 0.935
```

**ΔH_f (0 K)**: -2.4 kJ per mole of atoms
**Electronic total energy**: -5.574 eV/atom

This record from Alexandria via LeMat-Bulk describes a relaxed structure of Ba2InP. The functional is PBE.

Structure (CIF):
```
data_Ba2InP
_symmetry_space_group_name_H-M 'P 4/m m m'
_symmetry_Int_Tables_number 123
_symmetry_space_group_name_Hall '-P 4 2'
_cell_length_a 4.135
_cell_length_b 4.135
_cell_length_c 7.978
_cell_angle_alpha 90.00
_cell_angle_beta 90.00
_cell_angle_gamma 90.00
loop_
_atom_site_label
_atom_site_type_symbol
_atom_site_fract_x
_atom_site_fract_y
_atom_site_fract_z
Ba1 Ba 0.000 0.000 0.210
In1 In 0.500 0.500 0.500
P1 P 0.500 0.500 0.000
```

**ΔH_f (0 K)**: -58.6 kJ per mole of atoms
**Electronic total energy**: -3.606 eV/atom

This record from Alexandria via LeMat-Bulk describes a relaxed structure of HfCrGe3. The functional is PBE.

Structure (CIF):
```
data_HfCrGe3
_symmetry_space_group_name_H-M 'P m -3 m'
_symmetry_Int_Tables_number 221
_symmetry_space_group_name_Hall '-P 4 2 3'
_cell_length_a 4.600
_cell_length_b 4.600
_cell_length_c 4.600
_cell_angle_alpha 90.00
_cell_angle_beta 90.00
_cell_angle_gamma 90.00
loop_
_atom_site_label
_atom_site_type_symbol
_atom_site_fract_x
_atom_site_fract_y
_atom_site_fract_z
Hf1 Hf 0.000 0.000 0.000
Cr1 Cr 0.500 0.500 0.500
Ge1 Ge 0.000 0.500 0.500
```

**ΔH_f (0 K)**: 45.2 kJ per mole of atoms
**Electronic total energy**: -6.217 eV/atom

This record from Alexandria via LeMat-Bulk describes a relaxed structure of Dy7Ho4Tm. The functional is PBE.

Structure (CIF):
```
data_Dy7Ho4Tm
_symmetry_space_group_name_H-M 'C 1 2/m 1'
_symmetry_Int_Tables_number 12
_cell_length_a 11.926
_cell_length_b 5.836
_cell_length_c 12.570
_cell_angle_alpha 90.00
_cell_angle_beta 118.14
_cell_angle_gamma 90.00
loop_
_symmetry_equiv_pos_as_xyz
'x,y,z'
'-x,-y,-z'
'-x,y,-z'
'x,-y,z'
'x+1/2,y+1/2,z'
'-x+1/2,-y+1/2,-z'
'-x+1/2,y+1/2,-z'
'x+1/2,-y+1/2,z'
loop_
_atom_site_label
_atom_site_type_symbol
_atom_site_fract_x
_atom_site_fract_y
_atom_site_fract_z
Dy1 Dy 0.000 0.000 0.000
Dy2 Dy 0.133 0.500 0.501
Dy3 Dy 0.212 0.000 0.924
Dy4 Dy 0.247 0.000 0.683
Ho1 Ho 0.061 0.000 0.322
Ho2 Ho 0.136 0.500 0.775
Tm1 Tm 0.000 0.500 0.000
```

**ΔH_f (0 K)**: 28.6 kJ per mole of atoms
**Electronic total energy**: -4.287 eV/atom

This record from Alexandria via LeMat-Bulk describes a relaxed structure of Pm3Dy2Ga2. The functional is PBE.

Structure (CIF):
```
data_Pm3Dy2Ga2
_symmetry_space_group_name_H-M 'C 1 2/m 1'
_symmetry_Int_Tables_number 12
_cell_length_a 12.331
_cell_length_b 4.123
_cell_length_c 8.712
_cell_angle_alpha 90.00
_cell_angle_beta 113.35
_cell_angle_gamma 90.00
loop_
_symmetry_equiv_pos_as_xyz
'x,y,z'
'-x,-y,-z'
'-x,y,-z'
'x,-y,z'
'x+1/2,y+1/2,z'
'-x+1/2,-y+1/2,-z'
'-x+1/2,y+1/2,-z'
'x+1/2,-y+1/2,z'
loop_
_atom_site_label
_atom_site_type_symbol
_atom_site_fract_x
_atom_site_fract_y
_atom_site_fract_z
Pm1 Pm 0.000 0.000 0.000
Pm2 Pm 0.115 0.000 0.434
Dy1 Dy 0.153 0.500 0.813
Ga1 Ga 0.179 0.500 0.210
```

**ΔH_f (0 K)**: -28.8 kJ per mole of atoms
**Electronic total energy**: -4.514 eV/atom

This record from Alexandria via LeMat-Bulk describes a relaxed structure of LiMo2NCl. The functional is PBE.

Structure (CIF):
```
data_LiMo2NCl
_symmetry_space_group_name_H-M 'P 4/m m m'
_symmetry_Int_Tables_number 123
_symmetry_space_group_name_Hall '-P 4 2'
_cell_length_a 4.426
_cell_length_b 4.426
_cell_length_c 4.222
_cell_angle_alpha 90.00
_cell_angle_beta 90.00
_cell_angle_gamma 90.00
loop_
_atom_site_label
_atom_site_type_symbol
_atom_site_fract_x
_atom_site_fract_y
_atom_site_fract_z
Li1 Li 0.000 0.000 0.000
Mo1 Mo 0.000 0.500 0.500
N1 N 0.500 0.500 0.000
Cl1 Cl 0.500 0.500 0.500
```

**E_form (uncorrected)**: 180 kJ per mole of atoms
**Electronic total energy**: -4.880 eV/atom

This record from Alexandria via LeMat-Bulk describes a relaxed structure of RbTiCu3Se4. The functional is PBE.

Structure (CIF):
```
data_RbTiCu3Se4
_symmetry_space_group_name_H-M 'P -4 3 m'
_symmetry_Int_Tables_number 215
_symmetry_space_group_name_Hall 'P -4 2 3'
_cell_length_a 6.199
_cell_length_b 6.199
_cell_length_c 6.199
_cell_angle_alpha 90.00
_cell_angle_beta 90.00
_cell_angle_gamma 90.00
loop_
_atom_site_label
_atom_site_type_symbol
_atom_site_fract_x
_atom_site_fract_y
_atom_site_fract_z
Rb1 Rb 0.000 0.000 0.000
Ti1 Ti 0.500 0.500 0.500
Cu1 Cu 0.000 0.500 0.500
Se1 Se 0.280 0.280 0.720
```

**E_form (uncorrected)**: -59 kJ per mole of atoms
**Electronic total energy**: -4.515 eV/atom

> Which of these has the lowest electronic total energy?

SmCrC2

> What is the formula in the first record?

YSc2Se